Record 1
VASP calculation (PBE-GGA) on a relaxed LaBeZn2Ru2 crystal.

a = 4.3463 Å, b = 4.3463 Å, c = 5.5327 Å
α = 90.00°, β = 90.00°, γ = 90.00°
With the nearest neighbours (Å) after each atom.
Fractional coordinates of all 6 atoms:
La: 0.0000 0.0000 0.0000  2 Be 2.77
Be: 0.0000 0.0000 0.5000  4 Ru 2.17
Zn: 0.5000 0.5000 0.2409  4 Ru 2.60, 2 Zn 2.67-2.87
Zn: 0.5000 0.5000 0.7591  4 Ru 2.60, 2 Zn 2.67-2.87
Ru: 0.0000 0.5000 0.5000  2 Be 2.17
Ru: 0.5000 0.0000 0.5000  2 Be 2.17

## Properties
total energy = -5.119 eV/atom
crystal system = tetragonal
Fermi-level density of states = 6.34 states/eV/cell
calculated volume = 104.5 Å³ per cell



Record 2
VASP calculation (PBE-GGA) on a relaxed Mn4CdIr crystal.

a = 4.8186 Å, b = 4.8186 Å, c = 4.8186 Å
α = 60.00°, β = 60.00°, γ = 60.00°
With the nearest neighbours (Å) after each atom.
Fractional coordinates of all 6 atoms:
Mn: 0.1247 0.1247 0.1247  6 Mn 2.40-2.42
Mn: 0.1247 0.1247 0.6259  6 Mn 2.40-2.42
Mn: 0.1247 0.6259 0.1247  6 Mn 2.40-2.42
Mn: 0.6259 0.1247 0.1247  6 Mn 2.40-2.42
Cd: 0.7500 0.7500 0.7500  12 Mn 2.82, 4 Ir 2.95
Ir: 0.5000 0.5000 0.5000  12 Mn 2.83, 4 Cd 2.95

## Properties
total energy = -7.486 eV/atom
crystal system = cubic
Fermi-level density of states = 8.00 states/eV/cell
calculated volume = 79.1 Å³ per cell



Record 3
VASP calculation (PBE-GGA) on a relaxed La6Pd2C crystal.

a = 6.7782 Å, b = 7.5018 Å, c = 12.3717 Å
α = 90.00°, β = 123.05°, γ = 90.00°
With the nearest neighbours (Å) after each atom.
Fractional coordinates of all 18 atoms:
La: 0.1095 0.0359 0.2358  1 C 2.60
La: 0.1095 0.4641 0.7358  1 C 2.60
La: 0.2249 0.6945 0.0576  1 C 2.63
La: 0.2249 0.8055 0.5576  1 C 2.63
La: 0.3772 0.1705 0.0614  1 C 2.57
La: 0.3772 0.3295 0.5614  1 C 2.57
La: 0.6228 0.6705 0.4386  1 C 2.57
La: 0.6228 0.8295 0.9386  1 C 2.57
La: 0.7751 0.1945 0.4424  1 C 2.63
La: 0.7751 0.3055 0.9424  1 C 2.63
La: 0.8905 0.5359 0.2642  1 C 2.60
La: 0.8905 0.9641 0.7642  1 C 2.60
Pd: 0.3052 0.1036 0.7484  6 La 2.98-3.14
Pd: 0.3052 0.3964 0.2484  6 La 2.98-3.14
Pd: 0.6948 0.6036 0.7516  6 La 2.98-3.14
Pd: 0.6948 0.8964 0.2516  6 La 2.98-3.14
C: 0.0000 0.0000 0.0000  6 La 2.57-2.63
C: 0.0000 0.5000 0.5000  6 La 2.57-2.63

## Properties
total energy = -5.870 eV/atom
crystal system = monoclinic
Fermi-level density of states = 20.38 states/eV/cell
calculated volume = 527.3 Å³ per cell



Record 4
VASP calculation (PBE-GGA) on a relaxed Sm2Pa2Sb2C crystal.

a = 8.9603 Å, b = 8.9603 Å, c = 8.9603 Å
α = 149.84°, β = 149.84°, γ = 43.18°
With the nearest neighbours (Å) after each atom.
Fractional coordinates of all 7 atoms:
Sm: 0.1653 0.1653 0.0000  1 C 2.75
Sm: 0.8347 0.8347 0.0000  1 C 2.75
Pa: 0.0000 0.5000 0.5000  2 C 2.33
Pa: 0.5000 0.0000 0.5000  2 C 2.33
Sb: 0.3594 0.3594 0.0000  5 Sm 3.23-3.32, 4 Pa 3.30
Sb: 0.6406 0.6406 0.0000  5 Sm 3.23-3.32, 4 Pa 3.30
C: 0.0000 0.0000 0.0000  4 Pa 2.33

## Properties
total energy = -7.253 eV/atom
crystal system = tetragonal
Fermi-level density of states = 5.70 states/eV/cell
calculated volume = 181.1 Å³ per cell



Record 5
VASP calculation (PBE-GGA) on a relaxed CaTmPtRh crystal.

a = 4.8409 Å, b = 4.8409 Å, c = 4.8409 Å
α = 60.00°, β = 60.00°, γ = 60.00°
With the nearest neighbours (Å) after each atom.
Fractional coordinates of all 4 atoms:
Ca: 0.0000 0.0000 0.0000  4 Rh 2.96, 4 Pt 2.96
Tm: 0.5000 0.5000 0.5000  4 Pt 2.96, 4 Rh 2.96
Pt: 0.7500 0.7500 0.7500  4 Tm 2.96, 4 Ca 2.96
Rh: 0.2500 0.2500 0.2500  4 Tm 2.96, 4 Ca 2.96

## Properties
total energy = -5.832 eV/atom
crystal system = cubic
Fermi-level density of states = 2.37 states/eV/cell
calculated volume = 80.2 Å³ per cell



Record 6
VASP calculation (PBE-GGA) on a relaxed Hf2Ga2Fe3 crystal.

a = 9.1790 Å, b = 9.1790 Å, c = 3.0827 Å
α = 90.00°, β = 90.00°, γ = 155.10°
With the nearest neighbours (Å) after each atom.
Fractional coordinates of all 7 atoms:
Hf: 0.1392 0.8608 0.0000  1 Fe 2.49
Hf: 0.8608 0.1392 0.0000  1 Fe 2.49
Ga: 0.2916 0.7084 0.5000  2 Ga 2.48, 1 Fe 2.63
Ga: 0.7084 0.2916 0.5000  2 Ga 2.48, 1 Fe 2.63
Fe: 0.0000 0.0000 0.0000  2 Hf 2.49, 8 Fe 2.74
Fe: 0.4381 0.5619 0.5000  1 Fe 2.22
Fe: 0.5619 0.4381 0.5000  1 Fe 2.22

## Properties
total energy = -7.438 eV/atom
crystal system = orthorhombic
Fermi-level density of states = 4.39 states/eV/cell
calculated volume = 109.4 Å³ per cell



Record 7
VASP calculation (PBE-GGA) on a relaxed Sr2YTe crystal.

a = 5.8447 Å, b = 4.2317 Å, c = 6.1577 Å
α = 90.00°, β = 104.55°, γ = 90.00°
With the nearest neighbours (Å) after each atom.
Fractional coordinates of all 4 atoms:
Sr: 0.0000 0.0000 0.0000  4 Te 3.61, 2 Y 3.67, 4 Sr 3.74
Sr: 0.0000 0.5000 0.5000  4 Y 3.61, 2 Te 3.67, 4 Sr 3.74
Y: 0.5000 0.0000 0.5000  6 Sr 3.61-3.67, 4 Te 3.74
Te: 0.5000 0.5000 0.0000  6 Sr 3.61-3.67, 4 Y 3.74

## Properties
total energy = -3.550 eV/atom
crystal system = monoclinic
Fermi-level density of states = 5.13 states/eV/cell
calculated volume = 147.4 Å³ per cell



Record 8
VASP calculation (PBE-GGA) on a relaxed BeAs2Ru crystal.

a = 4.2829 Å, b = 4.2829 Å, c = 4.6740 Å
α = 94.18°, β = 94.18°, γ = 43.11°
With the nearest neighbours (Å) after each atom.
Fractional coordinates of all 4 atoms:
Be: 0.0000 0.0000 0.0000  2 As 2.22
As: 0.2262 0.2262 0.7522  1 Be 2.22
As: 0.7738 0.7738 0.2478  1 Be 2.22
Ru: 0.5000 0.5000 0.5000  6 As 2.56-2.60, 4 Be 2.82

## Properties
total energy = -5.451 eV/atom
crystal system = monoclinic
Fermi-level density of states = 1.26 states/eV/cell
calculated volume = 58.4 Å³ per cell



Record 9
VASP calculation (PBE-GGA) on a relaxed BaVH crystal.

a = 3.4582 Å, b = 3.4582 Å, c = 11.6688 Å
α = 90.00°, β = 90.00°, γ = 120.00°
With the nearest neighbours (Å) after each atom.
Fractional coordinates of all 6 atoms:
Ba: 0.0000 0.0000 0.1639  3 H 2.76
Ba: 0.0000 0.0000 0.8361  3 H 2.76
V: 0.6667 0.3333 0.4204  1 V 1.86
V: 0.6667 0.3333 0.5796  1 V 1.86
H: 0.3333 0.6667 0.0000  6 Ba 2.76
H: 0.3333 0.6667 0.5000  6 V 2.20

## Properties
total energy = -4.245 eV/atom
crystal system = hexagonal
Fermi-level density of states = 3.51 states/eV/cell
calculated volume = 120.9 Å³ per cell



Record 10
VASP calculation (PBE-GGA) on a relaxed Li4Tm3In4 crystal.

a = 3.3742 Å, b = 4.8780 Å, c = 15.5242 Å
α = 80.99°, β = 83.78°, γ = 89.99°
With the nearest neighbours (Å) after each atom.
Fractional coordinates of all 11 atoms:
Li: 0.0917 0.0924 0.3157  3 In 2.76
Li: 0.2393 0.7388 0.0224  4 In 2.92-2.98, 4 Li 3.04
Li: 0.7607 0.2612 0.9776  4 In 2.92-2.98, 4 Li 3.04
Li: 0.9083 0.9076 0.6843  3 In 2.76
Tm: 0.3581 0.3573 0.7849  6 In 3.21-3.29, 6 Li 3.34-3.39, 2 Tm 3.37
Tm: 0.5000 0.0000 0.5000  4 Li 3.28, 8 In 3.33-3.34, 2 Tm 3.37
Tm: 0.6419 0.6427 0.2151  6 In 3.21-3.29, 6 Li 3.34-3.39, 2 Tm 3.37
In: 0.0491 0.5502 0.4002  2 Li 2.76, 1 In 3.04
In: 0.1820 0.1831 0.1344  5 Li 2.76-2.98
In: 0.8180 0.8169 0.8656  5 Li 2.76-2.98
In: 0.9509 0.4498 0.5998  2 Li 2.76, 1 In 3.04

## Properties
total energy = -3.230 eV/atom
crystal system = triclinic
Fermi-level density of states = 5.25 states/eV/cell
calculated volume = 250.8 Å³ per cell



Record 11
VASP calculation (PBE-GGA) on a relaxed Nd2Tm2Ni15 crystal.

a = 6.5009 Å, b = 6.5009 Å, c = 6.5009 Å
α = 82.42°, β = 82.42°, γ = 82.42°
With the nearest neighbours (Å) after each atom.
Fractional coordinates of all 19 atoms:
Nd: 0.1421 0.1421 0.1421  12 Ni 2.94-3.10, 1 Tm 3.14
Nd: 0.8579 0.8579 0.8579  12 Ni 2.94-3.10, 1 Tm 3.14
Tm: 0.3898 0.3898 0.3898  6 Ni 2.57-2.66, 1 Tm 2.79
Tm: 0.6102 0.6102 0.6102  6 Ni 2.57-2.66, 1 Tm 2.79
Ni: 0.0000 0.5000 0.5000  8 Ni 2.49-2.50, 2 Tm 2.57
Ni: 0.1533 0.1533 0.6633  8 Ni 2.44-2.60, 1 Tm 2.66
Ni: 0.1533 0.6633 0.1533  8 Ni 2.44-2.60, 1 Tm 2.66
Ni: 0.1966 0.5000 0.8034  8 Ni 2.49-2.60
Ni: 0.1966 0.8034 0.5000  8 Ni 2.49-2.60
Ni: 0.3367 0.8467 0.8467  8 Ni 2.44-2.60, 1 Tm 2.66
Ni: 0.5000 0.0000 0.5000  8 Ni 2.49-2.50, 2 Tm 2.57
Ni: 0.5000 0.1966 0.8034  8 Ni 2.49-2.60
Ni: 0.5000 0.5000 0.0000  8 Ni 2.49-2.50, 2 Tm 2.57
Ni: 0.5000 0.8034 0.1966  8 Ni 2.49-2.60
Ni: 0.6633 0.1533 0.1533  8 Ni 2.44-2.60, 1 Tm 2.66
Ni: 0.8034 0.1966 0.5000  8 Ni 2.49-2.60
Ni: 0.8034 0.5000 0.1966  8 Ni 2.49-2.60
Ni: 0.8467 0.3367 0.8467  8 Ni 2.44-2.60, 1 Tm 2.66
Ni: 0.8467 0.8467 0.3367  8 Ni 2.44-2.60, 1 Tm 2.66

## Properties
total energy = -5.771 eV/atom
crystal system = trigonal
Fermi-level density of states = 26.57 states/eV/cell
calculated volume = 268.1 Å³ per cell



Record 12
VASP calculation (PBE-GGA) on a relaxed GaIr2Rh crystal.

a = 3.8579 Å, b = 3.8579 Å, c = 3.8936 Å
α = 90.00°, β = 90.00°, γ = 90.00°
With the nearest neighbours (Å) after each atom.
Fractional coordinates of all 4 atoms:
Ga: 0.0000 0.0000 0.0000  4 Rh 2.73, 8 Ir 2.74
Ir: 0.0000 0.5000 0.5000  4 Ir 2.73, 4 Rh 2.74, 4 Ga 2.74
Ir: 0.5000 0.0000 0.5000  4 Ir 2.73, 4 Rh 2.74, 4 Ga 2.74
Rh: 0.5000 0.5000 0.0000  4 Ga 2.73, 8 Ir 2.74

## Properties
total energy = -7.143 eV/atom
crystal system = tetragonal
Fermi-level density of states = 4.56 states/eV/cell
calculated volume = 57.9 Å³ per cell



Record 13
VASP calculation (PBE-GGA) on a relaxed NdEuSnHg crystal.

a = 5.4936 Å, b = 5.4936 Å, c = 5.4936 Å
α = 60.00°, β = 60.00°, γ = 60.00°
With the nearest neighbours (Å) after each atom.
Fractional coordinates of all 4 atoms:
Nd: 0.0000 0.0000 0.0000  4 Hg 3.36, 4 Sn 3.36
Eu: 0.5000 0.5000 0.5000  4 Hg 3.36, 4 Sn 3.36
Sn: 0.2500 0.2500 0.2500  4 Nd 3.36, 4 Eu 3.36
Hg: 0.7500 0.7500 0.7500  4 Nd 3.36, 4 Eu 3.36

## Properties
total energy = -5.445 eV/atom
crystal system = cubic
Fermi-level density of states = 2.50 states/eV/cell
calculated volume = 117.2 Å³ per cell



Record 14
VASP calculation (PBE-GGA) on a relaxed KLaPt2 crystal.

a = 4.2591 Å, b = 4.2591 Å, c = 6.3849 Å
α = 90.00°, β = 90.00°, γ = 90.00°
With the nearest neighbours (Å) after each atom.
Fractional coordinates of all 4 atoms:
K: 0.0000 0.0000 0.0000  6 Pt 3.14-3.24
La: 0.5000 0.5000 0.4516  1 Pt 2.58
Pt: 0.0000 0.0000 0.5081  4 La 3.03, 2 K 3.14-3.24
Pt: 0.5000 0.5000 0.8551  1 La 2.58

## Properties
total energy = -4.852 eV/atom
crystal system = tetragonal
calculated volume = 115.8 Å³ per cell



Record 15
VASP calculation (PBE-GGA) on a relaxed BeAsRh2 crystal.

a = 4.1372 Å, b = 4.1372 Å, c = 4.8528 Å
α = 102.45°, β = 102.45°, γ = 41.43°
With the nearest neighbours (Å) after each atom.
Fractional coordinates of all 4 atoms:
Be: 0.0000 0.0000 0.0000  6 Rh 2.42-2.57
As: 0.5000 0.5000 0.5000  6 Rh 2.46-2.59
Rh: 0.2630 0.2630 0.7602  3 Be 2.42-2.57, 3 As 2.46-2.59
Rh: 0.7370 0.7370 0.2398  3 Be 2.42-2.57, 3 As 2.46-2.59

## Properties
total energy = -6.049 eV/atom
crystal system = monoclinic
Fermi-level density of states = 2.17 states/eV/cell
calculated volume = 53.5 Å³ per cell



Record 16
VASP calculation (PBE-GGA) on a relaxed SrSiP2S crystal.

a = 4.6118 Å, b = 4.6118 Å, c = 4.9039 Å
α = 90.00°, β = 90.00°, γ = 90.00°
With the nearest neighbours (Å) after each atom.
Fractional coordinates of all 5 atoms:
Sr: 0.0000 0.0000 0.0000  4 S 3.26, 8 P 3.37
Si: 0.5000 0.5000 0.5000  4 P 2.31, 2 S 2.45
P: 0.0000 0.5000 0.5000  2 Si 2.31
P: 0.5000 0.0000 0.5000  2 Si 2.31
S: 0.5000 0.5000 0.0000  2 Si 2.45

## Properties
total energy = -4.649 eV/atom
crystal system = tetragonal
Fermi-level density of states = 3.62 states/eV/cell
calculated volume = 104.3 Å³ per cell



Record 17
VASP calculation (PBE-GGA) on a relaxed NaTaCd crystal.

a = 5.4327 Å, b = 2.9754 Å, c = 8.1529 Å
α = 90.00°, β = 98.79°, γ = 90.00°
With the nearest neighbours (Å) after each atom.
Fractional coordinates of all 6 atoms:
Na: 0.2473 0.0000 0.0050  6 Na 2.98-3.13, 3 Cd 3.19-3.21
Na: 0.7527 0.5000 0.9950  6 Na 2.98-3.13, 3 Cd 3.19-3.21
Ta: 0.0183 0.0065 0.3656  4 Ta 2.68-2.98
Ta: 0.9817 0.5065 0.6344  4 Ta 2.68-2.98
Cd: 0.4857 0.0066 0.6678  4 Cd 2.98-3.14, 5 Ta 3.09-3.26, 3 Na 3.19-3.21
Cd: 0.5143 0.5066 0.3322  4 Cd 2.98-3.14, 5 Ta 3.09-3.26, 3 Na 3.19-3.21

## Properties
total energy = -4.308 eV/atom
crystal system = monoclinic
Fermi-level density of states = 4.74 states/eV/cell
calculated volume = 130.2 Å³ per cell



Record 18
VASP calculation (PBE-GGA) on a relaxed Si2AuSe crystal.

a = 4.6725 Å, b = 4.6725 Å, c = 4.6725 Å
α = 60.00°, β = 60.00°, γ = 60.00°
With the nearest neighbours (Å) after each atom.
Fractional coordinates of all 4 atoms:
Si: 0.0000 0.0000 0.0000  4 Au 2.86, 4 Si 2.86
Si: 0.2500 0.2500 0.2500  4 Se 2.86, 4 Si 2.86
Au: 0.7500 0.7500 0.7500  4 Se 2.86, 4 Si 2.86
Se: 0.5000 0.5000 0.5000  4 Si 2.86, 4 Au 2.86

## Properties
total energy = -3.833 eV/atom
crystal system = cubic
Fermi-level density of states = 1.98 states/eV/cell
calculated volume = 72.1 Å³ per cell



Record 19
VASP calculation (PBE-GGA) on a relaxed NaZr2Be crystal.

a = 10.8351 Å, b = 10.8351 Å, c = 10.8351 Å
α = 158.29°, β = 158.29°, γ = 30.90°
With the nearest neighbours (Å) after each atom.
Fractional coordinates of all 8 atoms:
Na: 0.0000 0.0000 0.0000  4 Be 2.89, 4 Zr 3.01
Na: 0.7500 0.2500 0.5000  4 Be 2.89, 4 Zr 3.01
Zr: 0.1464 0.6250 0.0214  4 Zr 2.77-3.01, 2 Be 2.95, 2 Na 3.01
Zr: 0.3750 0.3964 0.5214  4 Zr 2.77-3.01, 2 Be 2.95, 2 Na 3.01
Zr: 0.6036 0.1250 0.9786  4 Zr 2.77-3.01, 2 Be 2.95, 2 Na 3.01
Zr: 0.8750 0.8536 0.4786  4 Zr 2.77-3.01, 2 Be 2.95, 2 Na 3.01
Be: 0.2500 0.7500 0.5000  4 Na 2.89, 4 Zr 2.95
Be: 0.5000 0.5000 0.0000  4 Na 2.89, 4 Zr 2.95

## Properties
total energy = -4.648 eV/atom
crystal system = tetragonal
Fermi-level density of states = 7.38 states/eV/cell
calculated volume = 174.0 Å³ per cell



Record 20
VASP calculation (PBE-GGA) on a relaxed LiZnTe3 crystal.

a = 5.1182 Å, b = 5.1182 Å, c = 5.1182 Å
α = 90.00°, β = 90.00°, γ = 90.00°
With the nearest neighbours (Å) after each atom.
Fractional coordinates of all 5 atoms:
Li: 0.0000 0.0000 0.0000  6 Te 2.56
Zn: 0.5000 0.5000 0.5000  12 Te 3.62
Te: 0.0000 0.0000 0.5000  2 Li 2.56
Te: 0.0000 0.5000 0.0000  2 Li 2.56
Te: 0.5000 0.0000 0.0000  2 Li 2.56

## Properties
total energy = -2.207 eV/atom
crystal system = cubic
Fermi-level density of states = 5.37 states/eV/cell
calculated volume = 134.1 Å³ per cell